# ScPIr2

A relaxed ScPIr2 crystal (PBE, Alexandria).

Cell lengths 3.026, 3.026, 6.902 Å; angles 90.00, 90.00, 90.00 degrees
Element x y z (fractional)
Sc1 0.500 0.500 0.756
P1 0.000 0.000 0.451
Ir1 0.000 0.000 0.000
Ir2 0.500 0.500 0.293

**Total moment**: 0.000 μB per formula unit
**Final energy**: -7.790 eV per atom
**Mass density**: 12.1 g cm⁻³

---

# Ac4TmTl2

A relaxed Ac4TmTl2 crystal (PBE, Alexandria).

Cell lengths 8.469, 10.608, 10.496 Å; angles 139.92, 90.61, 106.32 degrees
Element x y z (fractional)
Ac1 0.904 0.110 0.225
Ac2 0.342 0.568 0.201
Ac3 0.863 0.554 0.721
Ac4 0.858 0.067 0.797
Ac5 0.352 0.991 0.229
Ac6 0.390 0.125 0.710
Ac7 0.392 0.611 0.630
Ac8 0.898 0.690 0.202
Tm1 0.027 0.617 0.447
Tm2 0.223 0.063 0.983
Tl1 0.553 0.623 0.942
Tl2 0.697 0.054 0.485
Tl3 0.625 0.340 0.216
Tl4 0.126 0.337 0.711

**Total moment**: 0.000 μB per formula unit
**Final energy**: -3.742 eV per atom
**Mass density**: 9.1 g cm⁻³

---

# CaTb2CeSb4

A relaxed CaTb2CeSb4 crystal (PBE, Alexandria).

Cell lengths 6.281, 6.281, 7.713 Å; angles 113.89, 113.90, 90.30 degrees
Element x y z (fractional)
Ca1 0.438 0.438 0.000
Tb1 0.186 0.686 0.500
Tb2 0.686 0.186 0.500
Ce1 0.937 0.937 0.000
Sb1 0.938 0.438 0.000
Sb2 0.438 0.938 0.000
Sb3 0.182 0.182 0.490
Sb4 0.692 0.692 0.510

**Total moment**: 0.139 μB per formula unit
**Formation energy from raw total energies**: -1.071 eV per atom
**Mass density**: 6.6 g cm⁻³

---

# CaP2H8C2O6

A relaxed CaP2H8C2O6 crystal (PBE, Alexandria).

Cell lengths 10.888, 10.888, 7.249 Å; angles 73.02, 73.02, 30.64 degrees
Element x y z (fractional)
C1 0.542 0.102 0.633
C2 0.898 0.458 0.867
C3 0.458 0.898 0.367
C4 0.102 0.542 0.133
Ca1 0.139 0.861 0.250
Ca2 0.861 0.139 0.750
H1 0.594 0.206 0.130
H2 0.794 0.406 0.370
H3 0.406 0.794 0.870
H4 0.206 0.594 0.630
H5 0.711 0.904 0.634
H6 0.096 0.289 0.866
H7 0.289 0.096 0.366
H8 0.904 0.711 0.134
H9 0.507 0.149 0.774
H10 0.851 0.493 0.726
H11 0.493 0.851 0.226
H12 0.149 0.507 0.274
H13 0.393 0.173 0.607
H14 0.827 0.607 0.893
H15 0.607 0.827 0.393
H16 0.173 0.393 0.107
O1 0.661 0.106 0.260
O2 0.894 0.339 0.240
O3 0.339 0.894 0.740
O4 0.106 0.661 0.760
O5 0.788 0.119 0.484
O6 0.881 0.212 0.016
O7 0.212 0.881 0.516
O8 0.119 0.788 0.984
O9 0.338 0.499 0.423
O10 0.501 0.662 0.077
O11 0.662 0.501 0.577
O12 0.499 0.338 0.923
P1 0.579 0.220 0.445
P2 0.780 0.421 0.055
P3 0.421 0.780 0.555
P4 0.220 0.579 0.945

**Total moment**: 0.000 μB per formula unit
**Final energy**: -5.949 eV per atom
**Mass density**: 1.8 g cm⁻³

---

# LaFeP3

A relaxed LaFeP3 crystal (PBE, Alexandria).

Cell lengths 5.381, 5.381, 5.381 Å; angles 90.00, 90.00, 90.00 degrees
Element x y z (fractional)
P1 0.000 0.500 0.000
P2 0.000 0.000 0.500
P3 0.500 0.000 0.000
Fe1 0.500 0.500 0.500
La1 0.000 0.000 0.000

**ΔE to the lowest computed polymorph**: 2066 meV/atom
**Total moment**: 1.744 μB per formula unit
**Mass density**: 3.1 g cm⁻³

---

# Pm2YCu4

A relaxed Pm2YCu4 crystal (PBE, Alexandria).

Cell lengths 5.166, 5.166, 6.939 Å; angles 111.85, 111.85, 90.00 degrees
Element x y z (fractional)
Y1 0.000 0.000 0.000
Cu1 0.389 0.889 0.779
Cu2 0.889 0.389 0.779
Cu3 0.611 0.111 0.221
Cu4 0.111 0.611 0.221
Pm1 0.707 0.707 0.415
Pm2 0.293 0.293 0.585

**Total moment**: 0.000 μB per formula unit
**Final energy**: -4.617 eV per atom
**Mass density**: 6.7 g cm⁻³

---

# Cs2TbSb2O6

A relaxed Cs2TbSb2O6 crystal (PBE, Alexandria).

Cell lengths 6.389, 6.274, 7.790 Å; angles 111.27, 90.00, 120.61 degrees
Element x y z (fractional)
Cs1 0.718 0.436 0.187
Cs2 0.282 0.564 0.813
Tb1 0.500 0.000 0.500
Sb1 0.924 0.849 0.768
Sb2 0.076 0.151 0.232
O1 0.732 0.464 0.595
O2 0.230 0.977 0.286
O3 0.254 0.023 0.714
O4 0.770 0.023 0.714
O5 0.746 0.977 0.286
O6 0.268 0.536 0.405

**Total moment**: 0.898 μB per formula unit
**Formation energy from raw total energies**: -1.843 eV per atom
**Mass density**: 5.2 g cm⁻³

---

# RbSbI2N

A relaxed RbSbI2N crystal (PBE, Alexandria).

Cell lengths 6.509, 6.509, 4.322 Å; angles 90.00, 90.00, 90.00 degrees
Element x y z (fractional)
I1 0.000 0.500 0.000
I2 0.500 0.000 0.000
Sb1 0.500 0.500 0.500
Rb1 0.000 0.000 0.000
N1 0.000 0.000 0.500

**ΔE to the lowest computed polymorph**: 1451 meV/atom
**Total moment**: 0.000 μB per formula unit
**Formation energy from raw total energies**: 1.356 eV per atom
**Mass density**: 4.3 g cm⁻³

---

# Rb2YTlF6

A relaxed Rb2YTlF6 crystal (PBE, Alexandria).

Cell lengths 6.860, 6.860, 6.860 Å; angles 60.00, 60.00, 60.00 degrees
Element x y z (fractional)
Rb1 0.750 0.750 0.750
Rb2 0.250 0.250 0.250
Y1 0.000 0.000 0.000
Tl1 0.500 0.500 0.500
F1 0.775 0.225 0.225
F2 0.225 0.225 0.775
F3 0.225 0.775 0.775
F4 0.225 0.775 0.225
F5 0.775 0.225 0.775
F6 0.775 0.775 0.225

**ΔE to the lowest computed polymorph**: 45 meV/atom
**Total moment**: 0.000 μB per formula unit
**Formation energy from raw total energies**: -3.076 eV per atom
**Mass density**: 4.2 g cm⁻³

---

# Sm2Zn5Ag5

A relaxed Sm2Zn5Ag5 crystal (PBE, Alexandria).

Cell lengths 4.269, 5.683, 9.622 Å; angles 90.00, 90.00, 90.00 degrees
Element x y z (fractional)
Sm1 0.000 0.500 0.000
Sm2 0.000 0.000 0.500
Zn1 0.000 0.500 0.334
Zn2 0.000 0.000 0.841
Zn3 0.000 0.000 0.159
Zn4 0.000 0.500 0.666
Zn5 0.500 0.000 0.000
Ag1 0.500 0.500 0.500
Ag2 0.500 0.749 0.242
Ag3 0.500 0.251 0.758
Ag4 0.500 0.251 0.242
Ag5 0.500 0.749 0.758

**ΔE to the lowest computed polymorph**: 30 meV/atom
**Total moment**: 0.000 μB per formula unit
**Mass density**: 8.3 g cm⁻³

---

# Zr2CuSb

A relaxed Zr2CuSb crystal (PBE, Alexandria).

Cell lengths 3.187, 3.187, 7.947 Å; angles 90.00, 90.00, 90.00 degrees
Element x y z (fractional)
Cu1 0.500 0.500 0.250
Sb1 0.500 0.500 0.750
Zr1 0.000 0.000 0.030
Zr2 0.000 0.000 0.470

**Total moment**: 0.000 μB per formula unit
**Formation energy from raw total energies**: -0.182 eV per atom
**Mass density**: 7.6 g cm⁻³

---

# KIr2W

A relaxed KIr2W crystal (PBE, Alexandria).

Cell lengths 5.830, 5.830, 5.830 Å; angles 149.13, 122.11, 67.05 degrees
Element x y z (fractional)
Ir1 0.055 0.055 0.000
Ir2 0.445 0.445 0.000
K1 0.750 0.250 0.500
W1 0.250 0.750 0.500

**ΔE to the lowest computed polymorph**: 726 meV/atom
**Total moment**: 0.405 μB per formula unit
**Mass density**: 11.8 g cm⁻³

---

# In2SiSb

A relaxed In2SiSb crystal (PBE, Alexandria).

Cell lengths 3.296, 3.296, 9.237 Å; angles 90.00, 90.00, 103.71 degrees
Element x y z (fractional)
In1 0.000 0.000 0.972
In2 0.000 0.000 0.528
Sb1 0.500 0.500 0.250
Si1 0.500 0.500 0.750

**ΔE to the lowest computed polymorph**: 126 meV/atom
**Total moment**: 0.000 μB per formula unit
**Formation energy from raw total energies**: 0.289 eV per atom
**Mass density**: 6.5 g cm⁻³

---

# KYP2Pt4

A relaxed KYP2Pt4 crystal (PBE, Alexandria).

Cell lengths 4.037, 4.037, 10.668 Å; angles 90.00, 90.00, 90.00 degrees
Element x y z (fractional)
K1 0.000 0.000 0.500
Y1 0.000 0.000 0.000
P1 0.500 0.500 0.315
P2 0.500 0.500 0.685
Pt1 0.000 0.500 0.203
Pt2 0.500 0.000 0.797
Pt3 0.500 0.000 0.203
Pt4 0.000 0.500 0.797

**Total moment**: 0.000 μB per formula unit
**Final energy**: -6.065 eV per atom
**Mass density**: 9.3 g cm⁻³

---

# Nd2Dy3Ho5

A relaxed Nd2Dy3Ho5 crystal (PBE, Alexandria).

Cell lengths 9.374, 9.404, 11.128 Å; angles 125.15, 125.09, 68.66 degrees
Element x y z (fractional)
Nd1 0.777 0.013 0.744
Nd2 0.223 0.987 0.256
Nd3 0.467 0.731 0.744
Nd4 0.533 0.269 0.256
Dy1 0.228 0.978 0.957
Dy2 0.772 0.022 0.043
Dy3 0.730 0.465 0.244
Dy4 0.270 0.535 0.756
Dy5 0.014 0.779 0.244
Dy6 0.986 0.221 0.756
Ho1 0.277 0.527 0.054
Ho2 0.723 0.473 0.946
Ho3 0.019 0.769 0.538
Ho4 0.525 0.275 0.549
Ho5 0.981 0.231 0.462
Ho6 0.475 0.725 0.451
Ho7 0.867 0.611 0.758
Ho8 0.133 0.389 0.242
Ho9 0.392 0.147 0.758
Ho10 0.608 0.853 0.242

**ΔE to the lowest computed polymorph**: 0 meV/atom
**Total moment**: 0.000 μB per formula unit
**Mass density**: 8.1 g cm⁻³

---

# SrYV2Sb

A relaxed SrYV2Sb crystal (PBE, Alexandria).

Cell lengths 5.016, 5.816, 5.016 Å; angles 90.00, 90.00, 90.00 degrees
Element x y z (fractional)
Y1 0.500 0.500 0.500
Sb1 0.000 0.000 0.000
V1 0.000 0.000 0.500
V2 0.500 0.000 0.000
Sr1 0.000 0.500 0.000

**Total moment**: 0.317 μB per formula unit
**Formation energy from raw total energies**: 0.971 eV per atom
**Mass density**: 4.5 g cm⁻³

---

# RbZnCl3

A relaxed RbZnCl3 crystal (PBE, Alexandria).

Cell lengths 9.321, 9.321, 9.321 Å; angles 60.00, 60.00, 60.00 degrees
Element x y z (fractional)
Zn1 0.125 0.125 0.125
Zn2 0.125 0.625 0.125
Zn3 0.625 0.125 0.125
Zn4 0.125 0.125 0.625
Rb1 0.625 0.625 0.625
Rb2 0.625 0.125 0.625
Rb3 0.125 0.625 0.625
Rb4 0.625 0.625 0.125
Cl1 0.804 0.196 0.196
Cl2 0.054 0.446 0.446
Cl3 0.446 0.446 0.054
Cl4 0.446 0.054 0.054
Cl5 0.054 0.446 0.054
Cl6 0.804 0.196 0.804
Cl7 0.446 0.054 0.446
Cl8 0.054 0.054 0.446
Cl9 0.196 0.804 0.196
Cl10 0.196 0.804 0.804
Cl11 0.196 0.196 0.804
Cl12 0.804 0.804 0.196

**Total moment**: 0.000 μB per formula unit
**Formation energy from raw total energies**: -1.347 eV per atom
**Mass density**: 3.0 g cm⁻³

---

# KLi3As

A relaxed KLi3As crystal (PBE, Alexandria).

Cell lengths 5.030, 5.030, 5.030 Å; angles 90.00, 90.00, 90.00 degrees
Element x y z (fractional)
As1 0.500 0.500 0.500
K1 0.000 0.000 0.000
Li1 0.000 0.500 0.000
Li2 0.000 0.000 0.500
Li3 0.500 0.000 0.000

**ΔE to the lowest computed polymorph**: 1054 meV/atom
**Total moment**: 0.000 μB per formula unit
**Mass density**: 1.8 g cm⁻³

---

# K2InBiO4

A relaxed K2InBiO4 crystal (PBE, Alexandria).

Cell lengths 3.494, 6.085, 6.548 Å; angles 107.78, 90.00, 90.00 degrees
Element x y z (fractional)
K1 0.500 0.000 0.500
K2 0.000 0.500 0.500
In1 0.500 0.500 0.000
Bi1 0.000 0.000 0.000
O1 0.500 0.251 0.196
O2 0.500 0.749 0.804
O3 0.000 0.284 0.811
O4 0.000 0.716 0.189

**Total moment**: 0.000 μB per formula unit
**Formation energy from raw total energies**: -1.429 eV per atom
**Mass density**: 5.8 g cm⁻³

---

# TcPOs4

A relaxed TcPOs4 crystal (PBE, Alexandria).

Cell lengths 5.127, 5.127, 5.127 Å; angles 60.00, 60.00, 60.00 degrees
Element x y z (fractional)
Tc1 0.000 0.000 0.000
P1 0.750 0.750 0.750
Os1 0.876 0.375 0.375
Os2 0.375 0.375 0.876
Os3 0.375 0.876 0.375
Os4 0.375 0.375 0.375

**Total moment**: 0.000 μB per formula unit
**Final energy**: -9.057 eV per atom
**Mass density**: 15.5 g cm⁻³

---

# CuPd2I

A relaxed CuPd2I crystal (PBE, Alexandria).

Cell lengths 4.631, 4.631, 4.631 Å; angles 60.00, 60.00, 60.00 degrees
Element x y z (fractional)
I1 0.500 0.500 0.500
Cu1 0.000 0.000 0.000
Pd1 0.250 0.250 0.250
Pd2 0.750 0.750 0.750

**ΔE to the lowest computed polymorph**: 15 meV/atom
**Total moment**: 0.000 μB per formula unit
**Formation energy from raw total energies**: 0.256 eV per atom
**Mass density**: 9.5 g cm⁻³

---

# CePmMg6

A relaxed CePmMg6 crystal (PBE, Alexandria).

Cell lengths 5.216, 6.780, 6.780 Å; angles 120.00, 90.00, 90.00 degrees
Element x y z (fractional)
Ce1 0.000 0.083 0.917
Pm1 0.500 0.417 0.583
Mg1 0.000 0.075 0.412
Mg2 0.000 0.588 0.925
Mg3 0.000 0.588 0.412
Mg4 0.500 0.423 0.087
Mg5 0.500 0.913 0.577
Mg6 0.500 0.914 0.086

**Total moment**: 1.057 μB per formula unit
**Final energy**: -2.571 eV per atom
**Mass density**: 3.4 g cm⁻³